1.
Material: Cu7Te4
Method: DFT, GGA-PBE
State: relaxed

Cell and atoms, written as POSCAR:
```
Cu7Te4
1.0
3.905 -6.764 0.000
3.905 6.764 0.000
0.000 0.000 7.742
Cu Te
14 8
Cartesian
2.263 1.306 7.568
3.905 -5.186 6.129
3.905 -3.983 3.779
5.548 1.306 7.568
6.444 -0.789 6.129
2.408 -1.390 3.779
3.905 3.772 3.655
2.591 1.496 3.655
1.367 -0.789 6.129
5.402 -1.390 3.779
5.220 1.496 3.655
3.905 -2.255 7.523
3.905 2.255 1.517
3.905 4.152 7.568
0.000 0.000 0.511
1.988 3.362 5.718
2.168 -3.258 1.800
5.643 -3.258 1.800
5.823 3.362 5.718
3.905 0.041 5.718
3.905 -0.248 1.800
0.000 0.000 3.848
```


2.
Cu3Te5, relaxed, DFT GGA-PBE; polymorph energy (0 for the lowest one) = 0 meV/atom
1.0
-0.621 -2.246 -2.691
-1.481 -2.309 2.268
-14.452 6.895 -2.418
Cu Te
3 5
Cartesian
-4.508 -0.628 -0.790
-7.226 3.448 -1.209
-12.046 2.969 -2.051
-2.686 1.282 -0.449
-9.762 1.879 -1.669
0.000 0.000 0.000
-11.766 5.614 -1.969
-6.792 0.462 -1.172


3.
CuTe5, relaxed, DFT GGA-PBE; polymorph energy (0 for the lowest one) = 119 meV/atom
1.0
1.906 -11.354 0.000
1.906 11.354 0.000
0.000 0.000 3.936
Te Cu
5 1
Cartesian
1.906 -3.907 0.000
1.906 0.902 1.968
1.906 -6.114 1.968
1.906 9.522 1.968
1.906 3.459 0.000
1.906 11.277 0.000


| no. | formation energy (no corrections) (kJ/mol of formula units) | size of the total moment (μB per atom) |
| --- | --- | --- |
| 1 | 97 | 0.00 |
| 2 | 145 | 0.00 |
| 3 | 117 | 0.00 |